The following is a DFT calculation (PBE) of a geometry-optimized NaZnTe3 structure.

Results
mass density	4.60	g cm⁻³
formation energy from raw total energies	0.6328	eV/atom
calculated volume	34.00	A^3/atom
magnetization	0.000	μB per atom

a = 5.5398 Å, b = 5.5398 Å, c = 5.5398 Å
α = 90.00°, β = 90.00°, γ = 90.00°
Sites, in units of the cell vectors:
Te1 0.0000 0.0000 0.5000
Te2 0.5000 0.0000 0.0000
Te3 0.0000 0.5000 0.0000
Na1 0.0000 0.0000 0.0000
Zn1 0.5000 0.5000 0.5000